Entry 1:
Material: GeS
Method: DFT, PBE
State: relaxed

Structure (CIF):
```
data_GeS
_chemical_formula_sum 'Ge6 S6'
_cell_length_a 3.631
_cell_length_b 9.106
_cell_length_c 8.190
_cell_angle_alpha 90.00
_cell_angle_beta 90.00
_cell_angle_gamma 90.00
_space_group_name_H-M_alt 'P 1'
_space_group_IT_number 1
_space_group_name_Hall 'P 1'
loop_
_atom_site_label
_atom_site_type_symbol
_atom_site_fract_x
_atom_site_fract_y
_atom_site_fract_z
Ge1 Ge 0.000 0.282 0.608
Ge2 Ge 0.000 0.718 0.608
Ge3 Ge 0.000 0.782 0.108
Ge4 Ge 0.000 0.218 0.108
Ge5 Ge 0.500 0.000 0.374
Ge6 Ge 0.500 0.500 0.874
S1 S 0.500 0.791 0.915
S2 S 0.500 0.209 0.915
S3 S 0.500 0.291 0.415
S4 S 0.500 0.709 0.415
S5 S 0.000 0.000 0.579
S6 S 0.000 0.500 0.079
```

Summary:
calculated volume	22.56	Å³/atom
raw formation energy	-0.37	eV/f.u.
space-group type	Amm2 (38)

***

Entry 2:
Material: GeS
Method: DFT, PBE
State: relaxed

Structure (CIF):
```
data_GeS
_chemical_formula_sum 'Ge2 S2'
_cell_length_a 4.612
_cell_length_b 4.612
_cell_length_c 5.568
_cell_angle_alpha 90.00
_cell_angle_beta 90.00
_cell_angle_gamma 120.00
_space_group_name_H-M_alt 'P 1'
_space_group_IT_number 1
_space_group_name_Hall 'P 1'
loop_
_atom_site_label
_atom_site_type_symbol
_atom_site_fract_x
_atom_site_fract_y
_atom_site_fract_z
Ge1 Ge 0.333 0.667 0.763
Ge2 Ge 0.667 0.333 0.263
S1 S 0.333 0.667 0.319
S2 S 0.667 0.333 0.819
```

Summary:
calculated volume	25.65	Å³/atom
raw formation energy	-0.21	eV/f.u.
space-group type	P6_3mc (186)

***

Entry 3:
Material: GeS2
Method: DFT, PBE
State: relaxed

Structure (CIF):
```
data_GeS2
_chemical_formula_sum 'Ge2 S4'
_cell_length_a 3.512
_cell_length_b 3.512
_cell_length_c 12.445
_cell_angle_alpha 90.00
_cell_angle_beta 90.00
_cell_angle_gamma 90.00
_space_group_name_H-M_alt 'P 1'
_space_group_IT_number 1
_space_group_name_Hall 'P 1'
loop_
_atom_site_label
_atom_site_type_symbol
_atom_site_fract_x
_atom_site_fract_y
_atom_site_fract_z
Ge1 Ge 0.000 0.000 0.500
Ge2 Ge 0.500 0.500 0.000
S1 S 0.000 0.500 0.886
S2 S 0.000 0.500 0.386
S3 S 0.500 0.000 0.614
S4 S 0.500 0.000 0.114
```

Summary:
calculated volume	25.58	Å³/atom
raw formation energy	-0.85	eV/f.u.
space-group type	P4_2/nmc (137)

***

Entry 4:
Material: Ge4S
Method: DFT, PBE
State: relaxed

Structure (CIF):
```
data_Ge4S
_chemical_formula_sum 'Ge4 S1'
_cell_length_a 4.927
_cell_length_b 4.927
_cell_length_c 4.927
_cell_angle_alpha 90.00
_cell_angle_beta 90.00
_cell_angle_gamma 90.00
_space_group_name_H-M_alt 'P 1'
_space_group_IT_number 1
_space_group_name_Hall 'P 1'
loop_
_atom_site_label
_atom_site_type_symbol
_atom_site_fract_x
_atom_site_fract_y
_atom_site_fract_z
S1 S 0.500 0.500 0.500
Ge1 Ge 0.000 0.000 0.000
Ge2 Ge 0.500 0.000 0.500
Ge3 Ge 0.000 0.500 0.500
Ge4 Ge 0.500 0.500 0.000
```

Summary:
calculated volume	23.92	Å³/atom
raw formation energy	3.05	eV/f.u.
space-group type	Pm-3m (221)

***

Entry 5:
Material: GeS
Method: DFT, PBE
State: relaxed

Structure (CIF):
```
data_GeS
_chemical_formula_sum 'Ge4 S4'
_cell_length_a 3.666
_cell_length_b 4.435
_cell_length_c 10.743
_cell_angle_alpha 90.00
_cell_angle_beta 90.00
_cell_angle_gamma 90.00
_space_group_name_H-M_alt 'P 1'
_space_group_IT_number 1
_space_group_name_Hall 'P 1'
loop_
_atom_site_label
_atom_site_type_symbol
_atom_site_fract_x
_atom_site_fract_y
_atom_site_fract_z
Ge1 Ge 0.250 0.366 0.875
Ge2 Ge 0.750 0.634 0.125
Ge3 Ge 0.750 0.866 0.625
Ge4 Ge 0.250 0.134 0.375
S1 S 0.250 0.502 0.653
S2 S 0.750 0.498 0.347
S3 S 0.750 0.002 0.847
S4 S 0.250 0.998 0.153
```

Summary:
calculated volume	21.83	Å³/atom
raw formation energy	-0.52	eV/f.u.
space-group type	Pnma (62)

***

Entry 6:
Material: GeS
Method: DFT, PBE
State: relaxed

Structure (CIF):
```
data_GeS
_chemical_formula_sum 'Ge2 S2'
_cell_length_a 3.673
_cell_length_b 4.398
_cell_length_c 6.922
_cell_angle_alpha 108.52
_cell_angle_beta 105.38
_cell_angle_gamma 90.00
_space_group_name_H-M_alt 'P 1'
_space_group_IT_number 1
_space_group_name_Hall 'P 1'
loop_
_atom_site_label
_atom_site_type_symbol
_atom_site_fract_x
_atom_site_fract_y
_atom_site_fract_z
Ge1 Ge 0.648 0.944 0.296
Ge2 Ge 0.352 0.648 0.704
S1 S 0.165 0.335 0.329
S2 S 0.835 0.006 0.671
```

Summary:
calculated volume	25.44	Å³/atom
raw formation energy	-0.46	eV/f.u.
space-group type	Imm2 (44)

***

Entry 7:
Material: GeS2
Method: DFT, PBE
State: relaxed

Structure (CIF):
```
data_GeS2
_chemical_formula_sum 'Ge6 S12'
_cell_length_a 12.746
_cell_length_b 12.207
_cell_length_c 6.923
_cell_angle_alpha 78.23
_cell_angle_beta 69.64
_cell_angle_gamma 32.12
_space_group_name_H-M_alt 'P 1'
_space_group_IT_number 1
_space_group_name_Hall 'P 1'
loop_
_atom_site_label
_atom_site_type_symbol
_atom_site_fract_x
_atom_site_fract_y
_atom_site_fract_z
Ge1 Ge 0.007 0.719 0.270
Ge2 Ge 0.990 0.010 0.010
Ge3 Ge 0.240 0.260 0.260
Ge4 Ge 0.005 0.270 0.719
Ge5 Ge 0.980 0.245 0.243
Ge6 Ge 0.531 0.243 0.245
S1 S 0.657 0.295 0.015
S2 S 0.704 0.039 0.473
S3 S 0.955 0.593 0.217
S4 S 0.298 0.057 0.115
S5 S 0.784 0.473 0.039
S6 S 0.193 0.952 0.720
S7 S 0.235 0.217 0.593
S8 S 0.033 0.015 0.295
S9 S 0.530 0.115 0.057
S10 S 0.777 0.466 0.546
S11 S 0.211 0.546 0.466
S12 S 0.135 0.720 0.952
```

Summary:
calculated volume	29.34	Å³/atom
raw formation energy	-1.00	eV/f.u.
space-group type	Fdd2 (43)

***

Entry 8:
Material: GeS
Method: DFT, PBE
State: relaxed

Structure (CIF):
```
data_GeS
_chemical_formula_sum 'Ge1 S1'
_cell_length_a 3.508
_cell_length_b 3.508
_cell_length_c 4.944
_cell_angle_alpha 90.00
_cell_angle_beta 90.00
_cell_angle_gamma 120.00
_space_group_name_H-M_alt 'P 1'
_space_group_IT_number 1
_space_group_name_Hall 'P 1'
loop_
_atom_site_label
_atom_site_type_symbol
_atom_site_fract_x
_atom_site_fract_y
_atom_site_fract_z
Ge1 Ge 0.000 0.000 0.691
S1 S 0.667 0.333 0.966
```

Summary:
calculated volume	26.35	Å³/atom
raw formation energy	-0.43	eV/f.u.
space-group type	P3m1 (156)